A plane-wave DFT calculation with PBE with a Hubbard U was carried out for a relaxed structure of LiHo2MoO6.

Computed properties:
V: 132 Å³ per cell
final energy: -7.480 eV/atom

```
data_LiHo2MoO6
_chemical_formula_sum 'Li1 Ho2 Mo1 O6'
_cell_length_a 5.513
_cell_length_b 5.547
_cell_length_c 5.887
_cell_angle_alpha 62.00
_cell_angle_beta 89.34
_cell_angle_gamma 60.23
_symmetry_space_group_name_H-M 'P 1'
_symmetry_Int_Tables_number 1
_symmetry_space_group_name_Hall 'P 1'
loop_
_atom_site_label
_atom_site_fract_x
_atom_site_fract_y
_atom_site_fract_z
Li1 0.000 0.000 0.000
Ho1 0.257 0.481 0.771
Ho2 0.758 0.490 0.280
Mo1 0.465 0.077 0.385
O1 0.100 0.551 0.116
O2 0.212 0.978 0.570
O3 0.361 0.984 0.104
O4 0.571 0.237 0.583
O5 0.661 0.242 0.118
O6 0.827 0.621 0.581
```